A plane-wave DFT calculation with PBE-GGA was carried out for a relaxed Mg2ZnPt crystal.

Geometry as POSCAR:
```
Mg2ZnPt
1.0
-3.725 3.725 2.710
3.725 -3.725 2.710
3.725 3.725 -2.710
Mg Zn Pt
4 2 2
Direct
0.099 0.625 0.974
0.375 0.349 0.474
0.651 0.125 0.026
0.875 0.901 0.526
0.250 0.750 0.500
0.500 0.500 0.000
0.000 0.000 0.000
0.750 0.250 0.500
```

- Magnetic moment: 0.00 μB/f.u.
- ΔE_f: -0.192 eV/atom
- Space group: I-42d, No. 122

A plane-wave DFT calculation with PBE-GGA was carried out for a relaxed Mg2ZnPt crystal.

Geometry as POSCAR:
```
Mg2ZnPt
1.0
4.966 -1.565 0.000
4.966 1.565 0.000
-1.551 0.000 4.388
Mg Zn Pt
2 1 1
Direct
0.000 0.000 0.000
0.215 0.215 0.663
0.758 0.758 0.204
0.474 0.474 0.487
```

- Magnetic moment: 0.00 μB/f.u.
- ΔE_f: -0.491 eV/atom
- Space group: Cm, No. 8

A plane-wave DFT calculation with PBE-GGA was carried out for a relaxed MgZn2Pt crystal.

Geometry as POSCAR:
```
MgZn2Pt
1.0
2.847 0.000 0.000
0.000 4.562 0.000
-0.559 0.000 4.921
Mg Zn Pt
1 2 1
Direct
0.000 0.000 0.000
0.347 0.500 0.740
0.653 0.500 0.260
0.500 0.000 0.500
```

- Magnetic moment: 0.00 μB/f.u.
- ΔE_f: -0.386 eV/atom
- Space group: P2/m, No. 10

A plane-wave DFT calculation with PBE-GGA was carried out for a relaxed Mg2Zn3Pt crystal.

Geometry as POSCAR:
```
Mg2Zn3Pt
1.0
4.436 -2.576 0.000
4.436 2.576 0.000
-3.005 0.000 4.312
Mg Zn Pt
2 3 1
Direct
0.130 0.130 0.388
0.870 0.870 0.612
0.000 0.500 0.000
0.500 0.000 0.000
0.500 0.500 0.000
0.500 0.500 0.500
```

- Magnetic moment: 0.00 μB/f.u.
- ΔE_f: -0.449 eV/atom
- Space group: C2/m, No. 12

Copy entry 2 word for word.
A plane-wave DFT calculation with PBE-GGA was carried out for a relaxed Mg2ZnPt crystal.

Geometry as POSCAR:
```
Mg2ZnPt
1.0
4.966 -1.565 0.000
4.966 1.565 0.000
-1.551 0.000 4.388
Mg Zn Pt
2 1 1
Direct
0.000 0.000 0.000
0.215 0.215 0.663
0.758 0.758 0.204
0.474 0.474 0.487
```

- Magnetic moment: 0.00 μB/f.u.
- ΔE_f: -0.491 eV/atom
- Space group: Cm, No. 8

Question: Number 2 is which compound?
Answer: Mg2ZnPt